1.
# MnAl

A geometry-optimized MnAl structure (GGA-PBE, Alexandria).

It has space group P4/m (No. 83), with a = 7.3689 Å, b = 7.3689 Å, c = 4.2843 Å, α = 90.00°, β = 90.00° and γ = 90.00°. The inequivalent atoms are Mn at (0.0521, 0.2502, 0.0000), Mn at (0.1123, 0.7870, 0.5000), Al at (0.1656, 0.4381, 0.5000) and Al at (0.2671, 0.6199, 0.0000).

The formation energy is 0.1096 eV per atom.

2.
# Cs2ScPbW

A geometry-optimized Cs2ScPbW structure (GGA-PBE, Alexandria).

It has space group P4/mmm (No. 123), with a = 5.9576 Å, b = 5.9576 Å, c = 5.4984 Å, α = 90.00°, β = 90.00° and γ = 90.00°. The inequivalent atoms are Cs at (0.0000, 0.5000, 0.0000), Sc at (0.0000, 0.0000, 0.5000), Pb at (0.5000, 0.5000, 0.5000) and W at (0.5000, 0.5000, 0.0000).

The formation energy is 1.6874 eV per atom.

3.
# Na2PaSb2S6

A geometry-optimized Na2PaSb2S6 structure (GGA-PBE, Alexandria).

It has space group C2/m (No. 12), with a = 7.4886 Å, b = 11.8321 Å, c = 7.1198 Å, α = 90.00°, β = 111.44° and γ = 90.00°. The inequivalent atoms are Na at (0.0000, 0.1713, 0.0000), Pa at (0.0000, 0.0000, 0.5000), Sb at (0.0000, 0.3251, 0.5000), S at (0.2158, 0.0000, 0.2828) and S at (0.2214, 0.1705, 0.7182).

For the uncorrected formation energy, the calculation gives -0.91 eV/atom.

4.
# Ta2AsSe

A geometry-optimized Ta2AsSe structure (GGA-PBE, Alexandria).

It has space group P4mm (No. 99), with a = 3.4151 Å, b = 3.4151 Å, c = 6.0494 Å, α = 90.00°, β = 90.00° and γ = 90.00°. The inequivalent atoms are Ta at (0.0000, 0.0000, 0.0000), Ta at (0.5000, 0.5000, 0.3074), As at (0.0000, 0.0000, 0.4797) and Se at (0.5000, 0.5000, 0.8121).

For the uncorrected formation energy, the calculation gives -0.40 eV/atom.

5.
# ZnRe2W

A geometry-optimized ZnRe2W structure (GGA-PBE, Alexandria).

It has space group F-43m (No. 216), with a = 6.2284 Å, b = 6.2284 Å, c = 6.2284 Å, α = 90.00°, β = 90.00° and γ = 90.00°. The inequivalent atoms are Zn at (0.0000, 0.0000, 0.0000), Re at (0.0000, 0.0000, 0.5000), Re at (0.2500, 0.2500, 0.7500) and W at (0.2500, 0.2500, 0.2500).

The formation energy is 0.3445 eV per atom.

6.
# Y3Tm2Pd2

A geometry-optimized Y3Tm2Pd2 structure (GGA-PBE, Alexandria).

It has space group C2/m (No. 12), with a = 12.6183 Å, b = 3.7052 Å, c = 10.1855 Å, α = 90.00°, β = 127.33° and γ = 90.00°. The inequivalent atoms are Y at (0.0000, 0.0000, 0.0000), Y at (0.1553, 0.0000, 0.7068), Tm at (0.1114, 0.5000, 0.3730) and Pd at (0.1416, 0.5000, 0.9258).

The formation energy is -0.4065 eV per atom.

7.
# AcPrSbCl

A geometry-optimized AcPrSbCl structure (GGA-PBE, Alexandria).

It has space group F-43m (No. 216), with a = 7.7890 Å, b = 7.7890 Å, c = 7.7890 Å, α = 90.00°, β = 90.00° and γ = 90.00°. The inequivalent atoms are Ac at (0.0000, 0.0000, 0.0000), Pr at (0.0000, 0.0000, 0.5000), Sb at (0.2500, 0.2500, 0.2500) and Cl at (0.2500, 0.2500, 0.7500).

For the uncorrected formation energy, the calculation gives -1.23 eV/atom.

8.
# MgCoI

A geometry-optimized MgCoI structure (GGA-PBE, Alexandria).

It has space group P1 (No. 1), with a = 3.7944 Å, b = 4.0352 Å, c = 10.5122 Å, α = 101.00°, β = 100.35° and γ = 90.02°. The inequivalent atoms are Mg at (0.0000, 0.0000, 0.0000), Mg at (0.3968, 0.4013, 0.7990), Co at (0.3150, 0.8194, 0.6339), Co at (0.8742, 0.8785, 0.7525), I at (0.2380, 0.2433, 0.4807) and I at (0.5645, 0.5679, 0.1328).

For the uncorrected formation energy, the calculation gives 0.04 eV/atom.

9.
# Pr6NiIr2Cl3

A geometry-optimized Pr6NiIr2Cl3 structure (GGA-PBE, Alexandria).

It has space group C2/m (No. 12), with a = 19.2770 Å, b = 4.1486 Å, c = 8.9535 Å, α = 90.00°, β = 109.72° and γ = 90.00°. The inequivalent atoms are Pr at (0.0088, 0.0000, 0.2207), Pr at (0.1560, 0.5000, 0.1046), Pr at (0.1772, 0.5000, 0.5546), Ni at (0.0000, 0.5000, 0.0000), Ir at (0.1646, 0.0000, 0.3267), Cl at (0.0000, 0.5000, 0.5000) and Cl at (0.1660, 0.0000, 0.8326).

For the uncorrected formation energy, the calculation gives -1.09 eV/atom.

10.
# ErTh8

A geometry-optimized ErTh8 structure (GGA-PBE, Alexandria).

It has space group I4/mmm (No. 139), with a = 10.6934 Å, b = 10.6934 Å, c = 5.0296 Å, α = 90.00°, β = 90.00° and γ = 90.00°. The inequivalent atoms are Er at (0.0000, 0.0000, 0.0000), Th at (0.0000, 0.3323, 0.0000) and Th at (0.1667, 0.1667, 0.5000).

The formation energy is 0.0239 eV per atom.

11.
# Sb4RuPb

A geometry-optimized Sb4RuPb structure (GGA-PBE, Alexandria).

It has space group F-43m (No. 216), with a = 8.7367 Å, b = 8.7367 Å, c = 8.7367 Å, α = 90.00°, β = 90.00° and γ = 90.00°. The inequivalent atoms are Sb at (0.1243, 0.1243, 0.3757), Ru at (0.2500, 0.2500, 0.7500) and Pb at (0.0000, 0.0000, 0.0000).

For the uncorrected formation energy, the calculation gives 0.78 eV/atom.

12.
# Hf4AlPd

A geometry-optimized Hf4AlPd structure (GGA-PBE, Alexandria).

It has space group I422 (No. 97), with a = 6.8358 Å, b = 6.8358 Å, c = 5.1326 Å, α = 90.00°, β = 90.00° and γ = 90.00°. The inequivalent atoms are Hf at (0.1529, 0.3471, 0.2500), Al at (0.0000, 0.0000, 0.5000) and Pd at (0.0000, 0.0000, 0.0000).

The formation energy is -0.3514 eV per atom.